Record 1
An optimized crystal structure of KLiF3. Source: Alexandria via LeMat-Bulk, functional PBE. Values from VASP.

The total moment is 0.00 μB per atom. For the uncorrected formation energy, the calculation gives -2.299 eV/atom. As for the excess energy over the best structure of this formula in the dataset: 0.4 kJ/mol of atoms. The value obtained for the density of states at the Fermi level is 0.00 states/eV/atom.

Structure (Quantum ESPRESSO input):
```
&SYSTEM
  ibrav = 0, nat = 10, ntyp = 3
/
ATOMIC_SPECIES
K 39.10 K.upf
Li 6.94 Li.upf
F 19.00 F.upf
CELL_PARAMETERS angstrom
3.814 0.000 0.000
0.042 5.978 0.000
0.499 0.269 6.260
ATOMIC_POSITIONS crystal
K 0.028 0.255 0.283
K 0.972 0.745 0.717
Li 0.487 0.245 0.689
Li 0.513 0.755 0.311
F 0.017 0.812 0.212
F 0.354 0.600 0.053
F 0.500 0.000 0.500
F 0.500 0.500 0.500
F 0.646 0.400 0.947
F 0.983 0.188 0.788
```

Record 2
An optimized crystal structure of KHgRu2O8. Source: Alexandria via LeMat-Bulk, functional PBE. Values from VASP.

The total moment is 0.00 μB per atom. For the uncorrected formation energy, the calculation gives -0.822 eV/atom. The value obtained for the density of states at the Fermi level is 0.51 states/eV/atom.

Structure (Quantum ESPRESSO input):
```
&SYSTEM
  ibrav = 0, nat = 12, ntyp = 4
/
ATOMIC_SPECIES
K 39.10 K.upf
Hg 200.59 Hg.upf
Ru 101.07 Ru.upf
O 16.00 O.upf
CELL_PARAMETERS angstrom
5.488 -2.999 0.000
5.488 2.999 0.000
-2.534 0.000 6.339
ATOMIC_POSITIONS crystal
K 0.000 0.000 0.000
Hg 0.500 0.500 0.500
Ru 0.214 0.214 0.693
Ru 0.786 0.786 0.307
O 0.093 0.611 0.235
O 0.151 0.151 0.416
O 0.385 0.385 0.773
O 0.389 0.907 0.765
O 0.611 0.093 0.235
O 0.615 0.615 0.227
O 0.849 0.849 0.584
O 0.907 0.389 0.765
```

Record 3
An optimized crystal structure of AlO2F2. Source: Alexandria via LeMat-Bulk, functional PBE. Values from VASP.

The total moment is 0.00 μB per atom. For the uncorrected formation energy, the calculation gives 0.226 eV/atom. The value obtained for the density of states at the Fermi level is 0.37 states/eV/atom.

Structure (Quantum ESPRESSO input):
```
&SYSTEM
  ibrav = 0, nat = 5, ntyp = 3
/
ATOMIC_SPECIES
Al 26.98 Al.upf
O 16.00 O.upf
F 19.00 F.upf
CELL_PARAMETERS angstrom
3.498 0.000 0.000
0.000 3.498 0.000
0.000 0.000 4.192
ATOMIC_POSITIONS crystal
Al 0.000 0.000 0.000
O 0.000 0.500 0.500
O 0.500 0.000 0.500
F 0.500 0.500 0.000
F 0.500 0.500 0.500
```